Density functional theory data (PBE with a Hubbard U) for SrNdDyMnO6 after structural relaxation.

Cell: 8.1262 8.1262 8.1262 Å, 90.00 90.00 90.00°
Space group F-43m (No. 216)
Unique sites:
Sr 0.0000 0.0000 0.0000
Nd 0.0000 0.0000 0.5000
Dy 0.2500 0.2500 0.7500
Mn 0.2500 0.2500 0.2500
O 0.0165 0.2500 0.2500

Values from the calculation:
For the raw total energy, the calculation gives -7.450 eV/atom. The spin magnetization is 12.06 μB/cell.